A plane-wave DFT calculation with PBE-GGA was carried out for a relaxed structure of SrSm5Tl6.

Lattice parameters (Å, degrees): 5.5119 9.5379 9.5645 60.09 73.22 54.62
Last column: nearest neighbours and their distance in Å.
Fractional positions:
Sr: 0.0000 0.0000 0.0000  8 Tl 3.43-3.44
Sm: 0.5000 0.1611 0.6777  8 Tl 3.36-3.40
Sm: 0.0000 0.3305 0.3389  8 Tl 3.33-3.36
Sm: 0.5000 0.5000 0.0000  8 Tl 3.32-3.39
Sm: 0.0000 0.6695 0.6611  8 Tl 3.33-3.36
Sm: 0.5000 0.8389 0.3223  8 Tl 3.36-3.40
Tl: 0.7445 0.0862 0.3389  7 Sm 3.33-3.40, 1 Sr 3.44
Tl: 0.2555 0.5749 0.3389  7 Sm 3.33-3.40, 1 Sr 3.44
Tl: 0.2377 0.2620 0.0000  6 Sm 3.32-3.36, 2 Sr 3.43, 1 Tl 3.70
Tl: 0.7623 0.7380 0.0000  6 Sm 3.32-3.36, 2 Sr 3.43, 1 Tl 3.70
Tl: 0.7445 0.4251 0.6611  7 Sm 3.33-3.40, 1 Sr 3.44
Tl: 0.2555 0.9138 0.6611  7 Sm 3.33-3.40, 1 Sr 3.44

Properties
The energy of formation is -0.37 eV per atom. For the magnetization, the calculation gives 0.00 μB/atom. The space-group type is C2/m (12). As for the total energy: -3.65 eV per atom.



A plane-wave DFT calculation with PBE-GGA was carried out for a relaxed structure of SrSmTl6.

Lattice parameters (Å, degrees): 4.8826 4.8826 9.8361 90.00 90.00 90.00
Last column: nearest neighbours and their distance in Å.
Fractional positions:
Sr: 0.0000 0.0000 0.0000  12 Tl 3.45-3.52
Sm: 0.0000 0.0000 0.5000  12 Tl 3.41-3.45
Tl: 0.5000 0.5000 0.0000  4 Sr 3.45, 8 Tl 3.52
Tl: 0.5000 0.5000 0.5000  8 Tl 3.41, 4 Sm 3.45
Tl: 0.5000 0.0000 0.2575  8 Tl 3.41-3.52, 2 Sm 3.41, 2 Sr 3.52
Tl: 0.5000 0.0000 0.7425  8 Tl 3.41-3.52, 2 Sm 3.41, 2 Sr 3.52
Tl: 0.0000 0.5000 0.2575  8 Tl 3.41-3.52, 2 Sm 3.41, 2 Sr 3.52
Tl: 0.0000 0.5000 0.7425  8 Tl 3.41-3.52, 2 Sm 3.41, 2 Sr 3.52

Properties
The energy of formation is -0.27 eV per atom. For the magnetization, the calculation gives 0.00 μB/atom. The space-group type is P4/mmm (123). As for the total energy: -2.84 eV per atom.



A plane-wave DFT calculation with PBE-GGA was carried out for a relaxed structure of Sr2SmTl.

Lattice parameters (Å, degrees): 5.4835 5.1339 5.1339 90.00 90.00 90.00
Last column: nearest neighbours and their distance in Å.
Fractional positions:
Sr: 0.0000 0.0000 0.5000  4 Sr 3.63, 4 Tl 3.76, 4 Sm 3.76
Sr: 0.0000 0.5000 0.0000  4 Sr 3.63, 4 Sm 3.76, 4 Tl 3.76
Tl: 0.5000 0.0000 0.0000  4 Sm 3.63, 8 Sr 3.76
Sm: 0.5000 0.5000 0.5000  4 Tl 3.63, 8 Sr 3.76

Properties
The energy of formation is -0.07 eV per atom. For the magnetization, the calculation gives 0.00 μB/atom. The energy above the most stable polymorph in this dataset is 5 meV per atom. The space-group type is P4/mmm (123). As for the total energy: -2.68 eV per atom.



A plane-wave DFT calculation with PBE-GGA was carried out for a relaxed structure of SrSm2Tl.

Lattice parameters (Å, degrees): 5.3727 5.3727 6.8449 66.89 66.89 60.00
Last column: nearest neighbours and their distance in Å.
Fractional positions:
Sr: 0.4902 0.4902 0.5295  4 Tl 3.62-3.97, 7 Sm 3.73-3.88
Sm: 0.0439 0.0439 0.8682  3 Tl 3.13
Sm: 0.2780 0.2780 0.1660  3 Tl 3.40, 3 Sm 3.59
Tl: 0.6879 0.6879 0.9363  6 Sm 3.13-3.40

Properties
The energy of formation is 0.07 eV per atom. For the magnetization, the calculation gives 0.21 μB/atom. The energy above the most stable polymorph in this dataset is 150 meV per atom. The space-group type is R3m (160). As for the total energy: -3.30 eV per atom.



A plane-wave DFT calculation with PBE-GGA was carried out for a relaxed structure of Sr3SmTl4.

Lattice parameters (Å, degrees): 4.0146 4.0146 16.3255 90.00 90.00 90.00
Last column: nearest neighbours and their distance in Å.
Fractional positions:
Sr: 0.5000 0.5000 0.2441  8 Tl 3.54-3.57
Sr: 0.5000 0.5000 0.5000  8 Tl 3.51
Sr: 0.5000 0.5000 0.7559  8 Tl 3.54-3.57
Tl: 0.0000 0.0000 0.8880  4 Sm 3.38, 4 Sr 3.57, 1 Tl 3.66
Tl: 0.0000 0.0000 0.1120  4 Sm 3.38, 4 Sr 3.57, 1 Tl 3.66
Tl: 0.0000 0.0000 0.3733  8 Sr 3.51-3.54
Tl: 0.0000 0.0000 0.6267  8 Sr 3.51-3.54
Sm: 0.5000 0.5000 0.0000  8 Tl 3.38

Properties
The energy of formation is -0.41 eV per atom. For the magnetization, the calculation gives 0.00 μB/atom. The space-group type is P4/mmm (123). As for the total energy: -2.81 eV per atom.



A plane-wave DFT calculation with PBE-GGA was carried out for a relaxed structure of Sr2SmTl.

Lattice parameters (Å, degrees): 3.8214 3.8214 10.4912 90.00 90.00 90.00
Last column: nearest neighbours and their distance in Å.
Fractional positions:
Sr: 0.0000 0.0000 0.7847  4 Tl 3.52, 4 Sr 3.82
Sr: 0.0000 0.0000 0.2153  4 Tl 3.52, 4 Sr 3.82
Tl: 0.5000 0.5000 0.0000  8 Sr 3.52, 4 Tl 3.82
Sm: 0.5000 0.5000 0.5000  4 Sm 3.82, 8 Sr 4.03

Properties
The energy of formation is -0.08 eV per atom. For the magnetization, the calculation gives 0.00 μB/atom. The energy above the most stable polymorph in this dataset is 0 meV per atom. The space-group type is P4/mmm (123). As for the total energy: -2.69 eV per atom.



A plane-wave DFT calculation with PBE-GGA was carried out for a relaxed structure of Sr2Sm3Tl4.

Lattice parameters (Å, degrees): 7.4335 9.0965 9.7711 90.00 112.36 90.00
Last column: nearest neighbours and their distance in Å.
Fractional positions:
Sr: 0.1056 0.5848 0.2112  8 Tl 3.69-4.03, 2 Sm 3.92, 1 Sr 4.12
Sr: 0.8944 0.4152 0.7888  8 Tl 3.69-4.03, 2 Sm 3.92, 1 Sr 4.12
Sr: 0.3944 0.0848 0.7888  8 Tl 3.69-4.03, 2 Sm 3.92, 1 Sr 4.12
Sr: 0.6056 0.9152 0.2112  8 Tl 3.69-4.03, 2 Sm 3.92, 1 Sr 4.12
Sm: 0.0000 0.0000 0.0000  6 Tl 3.08-3.26
Sm: 0.5000 0.5000 0.0000  6 Tl 3.08-3.26
Sm: 0.5272 0.7500 0.5544  5 Tl 3.11-3.30
Sm: 0.9728 0.2500 0.4456  5 Tl 3.11-3.30
Sm: 0.4728 0.2500 0.4456  5 Tl 3.11-3.30
Sm: 0.0272 0.7500 0.5544  5 Tl 3.11-3.30
Tl: 0.6995 0.7500 0.8990  3 Sm 3.08-3.11
Tl: 0.8005 0.2500 0.1010  3 Sm 3.08-3.11
Tl: 0.3005 0.2500 0.1010  3 Sm 3.08-3.11
Tl: 0.1995 0.7500 0.8990  3 Sm 3.08-3.11
Tl: 0.1797 0.9632 0.3594  5 Sm 3.21-3.30
Tl: 0.8203 0.0368 0.6406  5 Sm 3.21-3.30
Tl: 0.3203 0.4632 0.6406  5 Sm 3.21-3.30
Tl: 0.6797 0.5368 0.3594  5 Sm 3.21-3.30

Properties
The energy of formation is -0.26 eV per atom. For the magnetization, the calculation gives 0.00 μB/atom. The space-group type is Cmce (64). As for the total energy: -3.26 eV per atom.



A plane-wave DFT calculation with PBE-GGA was carried out for a relaxed structure of Sr2Sm2Tl7.

Lattice parameters (Å, degrees): 7.9901 6.3745 7.9901 90.00 95.68 90.00
Last column: nearest neighbours and their distance in Å.
Fractional positions:
Sr: 0.8074 0.5000 0.8074  8 Tl 3.40-3.80
Sr: 0.1926 0.5000 0.1926  8 Tl 3.40-3.80
Sm: 0.7311 0.0000 0.2689  7 Tl 3.15-3.21
Sm: 0.2689 0.0000 0.7311  7 Tl 3.15-3.21
Tl: 0.9998 0.2569 0.5003  2 Tl 3.10-3.27, 2 Sm 3.15, 2 Sr 3.40
Tl: 0.5003 0.7431 0.9998  2 Tl 3.10-3.27, 2 Sm 3.15, 2 Sr 3.40
Tl: 0.0002 0.7431 0.4997  2 Tl 3.10-3.27, 2 Sm 3.15, 2 Sr 3.40
Tl: 0.4997 0.2569 0.0002  2 Tl 3.10-3.27, 2 Sm 3.15, 2 Sr 3.40
Tl: 0.0000 0.0000 0.0000  2 Sm 3.19
Tl: 0.5002 0.7379 0.4998  2 Tl 3.03-3.34, 2 Sm 3.20-3.21
Tl: 0.4998 0.2621 0.5002  2 Tl 3.03-3.34, 2 Sm 3.20-3.21

Properties
The energy of formation is -0.01 eV per atom. For the magnetization, the calculation gives 0.00 μB/atom. The space-group type is Cmmm (65). As for the total energy: -2.68 eV per atom.



A plane-wave DFT calculation with PBE-GGA was carried out for a relaxed structure of SrSm3Tl2.

Lattice parameters (Å, degrees): 5.5429 9.8445 9.4015 123.98 90.00 106.35
Last column: nearest neighbours and their distance in Å.
Fractional positions:
Sr: 0.8700 0.7400 0.9287  5 Tl 3.43-3.63, 2 Sm 3.76
Sr: 0.1300 0.2600 0.0713  5 Tl 3.43-3.63, 2 Sm 3.76
Sm: 0.3061 0.6122 0.6041  2 Tl 3.10-3.34, 2 Sm 3.34
Sm: 0.9364 0.8727 0.5843  3 Tl 3.33-3.44, 3 Sm 3.57-3.59
Sm: 0.6162 0.2324 0.7041  3 Tl 3.05-3.24
Sm: 0.3838 0.7676 0.2959  3 Tl 3.05-3.24
Sm: 0.0636 0.1273 0.4157  3 Tl 3.33-3.44, 3 Sm 3.57-3.59
Sm: 0.6939 0.3878 0.3959  2 Tl 3.10-3.34, 2 Sm 3.34
Tl: 0.5078 0.0156 0.8496  1 Tl 3.01, 2 Sm 3.05-3.10
Tl: 0.4922 0.9844 0.1504  1 Tl 3.01, 2 Sm 3.05-3.10
Tl: 0.7741 0.5482 0.1599  5 Sm 3.24-3.52, 3 Sr 3.55-3.63
Tl: 0.2259 0.4518 0.8401  5 Sm 3.24-3.52, 3 Sr 3.55-3.63

Properties
The energy of formation is -0.16 eV per atom. For the magnetization, the calculation gives 0.00 μB/atom. The energy above the most stable polymorph in this dataset is 98 meV per atom. The space-group type is C2/m (12). As for the total energy: -3.59 eV per atom.



A plane-wave DFT calculation with PBE-GGA was carried out for a relaxed structure of SrSm2Tl4.

Lattice parameters (Å, degrees): 5.4076 5.4076 8.9578 107.57 107.57 90.05
Last column: nearest neighbours and their distance in Å.
Fractional positions:
Sr: 0.0000 0.0000 0.0000  8 Tl 3.44
Sm: 0.7498 0.7498 0.4997  8 Tl 3.31-3.32
Sm: 0.2502 0.2502 0.5003  8 Tl 3.31-3.32
Tl: 0.3684 0.8687 0.7369  4 Sm 3.31-3.32, 2 Sr 3.44
Tl: 0.8687 0.3684 0.7369  4 Sm 3.31-3.32, 2 Sr 3.44
Tl: 0.6316 0.1313 0.2631  4 Sm 3.31-3.32, 2 Sr 3.44
Tl: 0.1313 0.6316 0.2631  4 Sm 3.31-3.32, 2 Sr 3.44

Properties
The energy of formation is -0.22 eV per atom. For the magnetization, the calculation gives 0.00 μB/atom. The space-group type is I4/mmm (139). As for the total energy: -3.16 eV per atom.



A plane-wave DFT calculation with PBE-GGA was carried out for a relaxed structure of SrSm5Tl4.

Lattice parameters (Å, degrees): 8.6450 7.7360 11.0125 90.00 90.00 90.00
Last column: nearest neighbours and their distance in Å.
Fractional positions:
Sr: 0.7892 0.0000 0.0000  4 Tl 3.19-3.21
Sr: 0.2108 0.5000 0.5000  4 Tl 3.19-3.21
Sm: 0.2862 0.7557 0.7996  3 Tl 3.11-3.20
Sm: 0.2862 0.2443 0.7996  3 Tl 3.11-3.20
Sm: 0.8616 0.5000 0.0000  4 Tl 3.10-3.22
Sm: 0.2862 0.7557 0.2004  3 Tl 3.11-3.20
Sm: 0.2862 0.2443 0.2004  3 Tl 3.11-3.20
Sm: 0.7138 0.7443 0.2996  3 Tl 3.11-3.20
Sm: 0.7138 0.2557 0.2996  3 Tl 3.11-3.20
Sm: 0.1384 0.0000 0.5000  4 Tl 3.10-3.22
Sm: 0.7138 0.2557 0.7004  3 Tl 3.11-3.20
Sm: 0.7138 0.7443 0.7004  3 Tl 3.11-3.20
Tl: 0.9957 0.0000 0.7582  5 Sm 3.10-3.20, 1 Sr 3.21
Tl: 0.5352 0.7011 0.0000  3 Sm 3.11-3.22, 1 Tl 3.11, 1 Sr 3.19
Tl: 0.5352 0.2989 0.0000  3 Sm 3.11-3.22, 1 Tl 3.11, 1 Sr 3.19
Tl: 0.9957 0.0000 0.2418  5 Sm 3.10-3.20, 1 Sr 3.21
Tl: 0.0043 0.5000 0.2582  5 Sm 3.10-3.20, 1 Sr 3.21
Tl: 0.4648 0.7989 0.5000  3 Sm 3.11-3.22, 1 Tl 3.11, 1 Sr 3.19
Tl: 0.4648 0.2011 0.5000  3 Sm 3.11-3.22, 1 Tl 3.11, 1 Sr 3.19
Tl: 0.0043 0.5000 0.7418  5 Sm 3.10-3.20, 1 Sr 3.21

Properties
The energy of formation is 0.02 eV per atom. For the magnetization, the calculation gives 0.00 μB/atom. The space-group type is Pmmn (59). As for the total energy: -3.45 eV per atom.



A plane-wave DFT calculation with PBE-GGA was carried out for a relaxed structure of SrSm2Tl.

Lattice parameters (Å, degrees): 5.0592 5.0863 5.0863 90.00 90.00 90.00
Last column: nearest neighbours and their distance in Å.
Fractional positions:
Sr: 0.5000 0.5000 0.5000  8 Sm 3.59, 4 Tl 3.60
Tl: 0.5000 0.0000 0.0000  8 Sm 3.59, 4 Sr 3.60
Sm: 0.0000 0.0000 0.5000  4 Sr 3.59, 4 Tl 3.59, 4 Sm 3.60
Sm: 0.0000 0.5000 0.0000  4 Sr 3.59, 4 Tl 3.59, 4 Sm 3.60

Properties
The energy of formation is -0.08 eV per atom. For the magnetization, the calculation gives 0.00 μB/atom. The energy above the most stable polymorph in this dataset is 0 meV per atom. The space-group type is P4/mmm (123). As for the total energy: -3.45 eV per atom.